Compound: NaGaF3
Source: the Alexandria database
Functional: PBE-GGA
Structure: relaxed

Raw formation energy, eV per formula unit: -11.35
Energy above the lowest structure with this stoichiometry, meV per atom: 253.1
E, eV per atom: -4.2617
M_tot, μB/atom: 0.000

Geometry as POSCAR:
```
NaGaF3
1.0
4.2090 0.0000 0.0000
0.0000 4.2090 0.0000
0.0000 0.0000 4.2090
Na Ga F
1 1 3
Direct
0.0000 0.0000 0.0000 Na
0.5000 0.5000 0.5000 Ga
0.0000 0.5000 0.5000 F
0.5000 0.0000 0.5000 F
0.5000 0.5000 0.0000 F
```